Entry 1:
Entry from the Alexandria database: Nd3ScCd after structural relaxation (PBE).

Results
Energy (eV/cell): -43.15
Space-group type: C2/m
Energy of formation (meV/atom): -5
V (Å³/cell): 311
ΔE to the lowest computed polymorph (meV per atom): 0
Total magnetization (μB per formula unit): 0.0

a = 3.5346 Å, b = 8.2080 Å, c = 11.3234 Å
α = 106.48°, β = 98.98°, γ = 90.00°
Fractional coordinates of all 10 atoms:
Nd 0.3743 0.9633 0.7487
Cd 0.4190 0.3921 0.8380
Cd 0.5810 0.6079 0.1620
Nd 0.6257 0.0367 0.2513
Nd 0.9834 0.7647 0.9669
Nd 0.1776 0.4548 0.3553
Sc 0.2634 0.1717 0.5268
Nd 0.0166 0.2353 0.0331
Sc 0.7366 0.8283 0.4732
Nd 0.8224 0.5452 0.6447


Entry 2:
Entry from the Alexandria database: HfNi2Pt2 after structural relaxation (PBE).

Results
Energy (eV/cell): -70.96
Space-group type: P4/mbm
Energy of formation (meV/atom): -376
V (Å³/cell): 151
ΔE to the lowest computed polymorph (meV per atom): 128
Total magnetization (μB per formula unit): 0.0

a = 7.1000 Å, b = 7.1000 Å, c = 2.9949 Å
α = 90.00°, β = 90.00°, γ = 90.00°
Fractional coordinates of all 10 atoms:
Ni 0.3391 0.1609 0.5000
Ni 0.8391 0.3391 0.5000
Ni 0.6609 0.8391 0.5000
Pt 0.3629 0.8629 0.0000
Pt 0.6371 0.1371 0.0000
Ni 0.1609 0.6609 0.5000
Pt 0.1371 0.3629 0.0000
Hf 0.0000 0.0000 0.0000
Pt 0.8629 0.6371 0.0000
Hf 0.5000 0.5000 0.0000


Entry 3:
Entry from the Alexandria database: Mg3CuO after structural relaxation (PBE).

Results
Energy (eV/cell): -18.39
Space-group type: Pm-3m
V (Å³/cell): 74
ΔE to the lowest computed polymorph (meV per atom): 0
E_form (uncorrected) (eV/atom): -0.91
Total magnetization (μB per formula unit): 0.0

a = 4.2054 Å, b = 4.2054 Å, c = 4.2054 Å
α = 90.00°, β = 90.00°, γ = 90.00°
Fractional coordinates of all 5 atoms:
Mg 0.5000 0.0000 0.0000
Mg 0.0000 0.0000 0.5000
Mg 0.0000 0.5000 0.0000
O 0.0000 0.0000 0.0000
Cu 0.5000 0.5000 0.5000


Entry 4:
Entry from the Alexandria database: Rb2MgI after structural relaxation (PBE).

Results
Energy (eV/cell): -13.32
Space-group type: I-42d
V (Å³/cell): 487
ΔE to the lowest computed polymorph (meV per atom): 0
E_form (uncorrected) (eV/atom): -0.40
Total magnetization (μB per formula unit): 1.0

a = 10.1773 Å, b = 10.1773 Å, c = 8.5948 Å
α = 53.70°, β = 53.70°, γ = 90.00°
Fractional coordinates of all 8 atoms:
I 0.7500 0.2500 0.5000
Rb 0.6562 0.1250 0.2500
Rb 0.8750 0.9062 0.7500
Rb 0.3750 0.3438 0.7500
Rb 0.0938 0.6250 0.2500
Mg 0.2500 0.7500 0.5000
Mg 0.5000 0.5000 0.0000
I 0.0000 0.0000 0.0000


Entry 5:
Entry from the Alexandria database: La2NdHo2 after structural relaxation (PBE).

Results
Energy (eV/cell): -43.08
Space-group type: I4/mcm
Energy of formation (meV/atom): 448
V (Å³/cell): 367
ΔE to the lowest computed polymorph (meV per atom): 248
Total magnetization (μB per formula unit): 0.0

a = 8.2165 Å, b = 8.2165 Å, c = 8.2165 Å
α = 98.74°, β = 98.74°, γ = 134.11°
Fractional coordinates of all 10 atoms:
Ho 0.6900 0.8100 0.5000
Ho 0.1900 0.6900 0.8799
Nd 0.2500 0.2500 0.0000
La 0.1089 0.3911 0.5000
Ho 0.3100 0.1900 0.5000
La 0.3911 0.8911 0.2823
Ho 0.8100 0.3100 0.1201
La 0.6089 0.1089 0.7177
La 0.8911 0.6089 0.5000
Nd 0.7500 0.7500 0.0000


Entry 6:
Entry from the Alexandria database: NaSmBi2 after structural relaxation (PBE).

Results
Energy (eV/cell): -15.86
Space-group type: P4/mmm
Energy of formation (meV/atom): -516
V (Å³/cell): 118
ΔE to the lowest computed polymorph (meV per atom): 31
Total magnetization (μB per formula unit): 0.0

a = 4.3963 Å, b = 5.1911 Å, c = 5.1911 Å
α = 90.00°, β = 90.00°, γ = 90.00°
Fractional coordinates of all 4 atoms:
Sm 0.5000 0.5000 0.5000
Na 0.5000 0.0000 0.0000
Bi 0.0000 0.5000 0.0000
Bi 0.0000 0.0000 0.5000


Entry 7:
Entry from the Alexandria database: PSN after structural relaxation (PBE).

Results
Energy (eV/cell): -16.83
Space-group type: P1
V (Å³/cell): 75
ΔE to the lowest computed polymorph (meV per atom): 319
E_form (uncorrected) (eV/atom): 0.34
Total magnetization (μB per formula unit): 0.0

a = 4.1931 Å, b = 4.4638 Å, c = 5.1804 Å
α = 69.18°, β = 56.78°, γ = 73.36°
Fractional coordinates of all 3 atoms:
N 0.1486 0.5785 0.9369
P 0.8314 0.6712 0.8448
S 0.3485 0.3640 0.1502


Entry 8:
Entry from the Alexandria database: Cs3AcO3 after structural relaxation (PBE).

Results
Energy (eV/cell): -68.50
Space-group type: C2/m
V (Å³/cell): 403
ΔE to the lowest computed polymorph (meV per atom): 0
E_form (uncorrected) (eV/atom): -1.82
Total magnetization (μB per formula unit): 0.0

a = 8.4772 Å, b = 8.4772 Å, c = 8.2841 Å
α = 119.35°, β = 119.35°, γ = 54.09°
Fractional coordinates of all 14 atoms:
Ac 0.2196 0.2196 0.9704
Cs 0.2547 0.7453 0.5000
Cs 0.2237 0.2237 0.4755
O 0.9705 0.9705 0.2204
Cs 0.2547 0.7453 0.0000
O 0.9993 0.5008 0.1932
O 0.4992 0.0007 0.8068
Cs 0.7453 0.2547 0.5000
Cs 0.7763 0.7763 0.5245
O 0.0295 0.0295 0.7796
O 0.0007 0.4992 0.8068
Cs 0.7453 0.2547 0.0000
Ac 0.7804 0.7804 0.0296
O 0.5008 0.9993 0.1932


Question: Which value of V does entry 5 give?
Answer: 367 Å³/cell